# LiScPb2 | Alexandria via LeMat-Bulk | PBE | optimized geometry
data_LiScPb2
_chemical_formula_sum 'Li2 Sc2 Pb4'
_symmetry_space_group_name_H-M 'C 1 2/m 1'
_symmetry_Int_Tables_number 12
_cell_length_a 9.484
_cell_length_b 3.471
_cell_length_c 6.150
_cell_angle_alpha 90.00
_cell_angle_beta 101.82
_cell_angle_gamma 90.00
loop_
_symmetry_equiv_pos_as_xyz
'x,y,z'
'-x,-y,-z'
'-x,y,-z'
'x,-y,z'
'x+1/2,y+1/2,z'
'-x+1/2,-y+1/2,-z'
'-x+1/2,y+1/2,-z'
'x+1/2,-y+1/2,z'
loop_
_atom_site_label
_atom_site_type_symbol
_atom_site_fract_x
_atom_site_fract_y
_atom_site_fract_z
Li1 Li 0.000 0.000 0.000
Sc1 Sc 0.000 0.500 0.500
Pb1 Pb 0.245 0.500 0.242
# Crystal system: monoclinic
# ΔE_f (eV per atom): -0.22
# Mass density (g cm⁻³): 7.815